Computed, not measured: a PBEsol-optimized structure of PmAg3 at the SCAN level of DFT.

Computed properties:
energy of formation from the pure elements: -208 meV per atom
DOS at the Fermi energy: 2.002 states/eV/f.u.
DFT total energy: -34.730 eV per atom
ρ: 9.5 g/cm3
SG: Fm-3m
size of the total moment: 0.0 Bohr magnetons per cell

```
PmAg3
1.0
0.000 3.445 3.445
3.445 0.000 3.445
3.445 3.445 0.000
Pm Ag
1 3
direct
0.000 0.000 0.000 Pm
0.250 0.250 0.250 Ag
0.500 0.500 0.500 Ag
0.750 0.750 0.750 Ag
```


Computed, not measured: a PBEsol-optimized structure of PmAg3 at the SCAN level of DFT.

Computed properties:
energy of formation from the pure elements: -218 meV per atom
DOS at the Fermi energy: 2.078 states/eV/f.u.
DFT total energy: -34.739 eV per atom
ρ: 9.4 g/cm3
SG: P6_3/mmc
size of the total moment: 0.0 Bohr magnetons per cell

```
PmAg3
1.0
6.328 0.000 0.000
-3.164 5.480 0.000
0.000 0.000 4.779
Pm Ag
2 6
direct
0.333 0.667 0.250 Pm
0.667 0.333 0.750 Pm
0.151 0.302 0.750 Ag
0.151 0.849 0.750 Ag
0.302 0.151 0.250 Ag
0.698 0.849 0.750 Ag
0.849 0.151 0.250 Ag
0.849 0.698 0.250 Ag
```